A plane-wave DFT calculation with PBE-GGA was carried out for a relaxed structure of Sr3MgRh2O6.

Results
The calculated density comes out at 5.27 g cm⁻³. Its energy relative to the elements, uncorrected is -1.642 eV/atom. Its crystal system is trigonal. Its space group is P-3m1 (164).

Cell and atoms, written as CIF:
```
data_Sr3MgRh2O6
_chemical_formula_sum 'Sr3 Mg1 Rh2 O6'
_cell_length_a 5.760
_cell_length_b 5.760
_cell_length_c 6.455
_cell_angle_alpha 90.00
_cell_angle_beta 90.00
_cell_angle_gamma 120.00
_space_group_name_H-M_alt 'P 1'
_space_group_IT_number 1
loop_
_space_group_symop_operation_xyz
'x,y,z'
loop_
_atom_site_label
_atom_site_fract_x
_atom_site_fract_y
_atom_site_fract_z
Sr1 0.000 0.000 0.000
Sr2 0.333 0.667 0.637
Sr3 0.667 0.333 0.363
Mg1 0.000 0.000 0.500
Rh1 0.333 0.667 0.154
Rh2 0.667 0.333 0.846
O1 0.164 0.328 0.307
O2 0.164 0.836 0.307
O3 0.328 0.164 0.693
O4 0.672 0.836 0.307
O5 0.836 0.164 0.693
O6 0.836 0.672 0.693
```